# CdTeCl2 | Alexandria via LeMat-Bulk | GGA-PBE | relaxed
# Raw formation energy (eV per formula unit): -0.1
# Distance to the lowest polymorph of the same formula (eV per formula unit): 2.02
data_CdTeCl2
_chemical_formula_sum 'Cd2 Te2 Cl4'
_cell_length_a 6.391
_cell_length_b 8.966
_cell_length_c 3.344
_cell_angle_alpha 90.00
_cell_angle_beta 90.00
_cell_angle_gamma 90.00
_symmetry_space_group_name_H-M 'C m m m'
_symmetry_Int_Tables_number 65
_symmetry_space_group_name_Hall '-C 2 2'
loop_
_atom_site_label
_atom_site_type_symbol
_atom_site_fract_x
_atom_site_fract_y
_atom_site_fract_z
Cd1 Cd 0.000 0.000 0.000
Te1 Te 0.000 0.500 0.000
Cl1 Cl 0.250 0.250 0.500